No. 1
Material: Ca4CrSe
Method: DFT, GGA-PBE
State: optimized geometry

abc: 6.631 6.631 6.631
angles: 60.00 60.00 60.00
Fractional coordinates of all 6 atoms:
Se: 0.000 0.000 0.000
Ca: 0.375 0.375 0.875
Cr: 0.750 0.750 0.750
Ca: 0.375 0.375 0.375
Ca: 0.875 0.375 0.375
Ca: 0.375 0.875 0.375

formation energy without anion corrections	2.701	eV per formula unit
calculated density	2346	kg/m³
crystal system	cubic
SG	F-43m, No. 216
DFT total energy	-18.4	eV/cell



No. 2
Material: Ca3MgPa3N8
Method: DFT, GGA-PBE
State: optimized geometry

abc: 6.977 6.977 6.933
angles: 120.21 90.00 120.00
Fractional coordinates of all 15 atoms:
N: 0.258 0.515 0.273
Pa: 0.500 0.500 0.500
N: 0.765 0.530 0.303
Mg: 0.000 0.000 0.500
N: 0.273 0.038 0.302
Pa: 0.000 0.500 0.500
N: 0.235 0.470 0.697
Ca: 0.000 0.500 0.000
N: 0.235 0.962 0.698
N: 0.742 0.485 0.727
Ca: 0.500 0.500 0.000
Pa: 0.500 0.000 0.500
Ca: 0.000 0.000 0.000
N: 0.727 0.962 0.698
N: 0.765 0.038 0.302

formation energy without anion corrections	-17.887	eV per formula unit
calculated density	6630	kg/m³
crystal system	trigonal
SG	R-3m, No. 166
DFT total energy	-120.6	eV/cell



No. 3
Material: BaScBi2
Method: DFT, GGA-PBE
State: optimized geometry

abc: 3.840 3.840 8.714
angles: 90.00 90.00 90.00
Fractional coordinates of all 4 atoms:
Sc: 0.500 0.500 0.000
Bi: 0.000 0.000 0.794
Bi: 0.000 0.000 0.206
Ba: 0.500 0.500 0.500

calculated density	7755	kg/m³
crystal system	tetragonal
SG	P4/mmm, No. 123
energy of formation from the pure elements	-0.589	eV per atom
DFT total energy	-18.4	eV/cell



No. 4
Material: Ce4Sb2TeP
Method: DFT, GGA-PBE
State: optimized geometry

abc: 4.377 7.604 7.656
angles: 70.79 90.00 90.00
Fractional coordinates of all 8 atoms:
Ce: 0.500 0.731 0.271
P: 0.000 0.500 0.500
Ce: 0.000 0.259 0.263
Sb: 0.500 0.000 0.500
Te: 0.500 0.500 0.000
Ce: 0.500 0.269 0.729
Sb: 0.000 0.000 0.000
Ce: 0.000 0.741 0.737

formation energy without anion corrections	-9.701	eV per formula unit
calculated density	6642	kg/m³
crystal system	monoclinic
SG	P2/m, No. 10
DFT total energy	-50.2	eV/cell



No. 5
Material: Nd3HoH8
Method: DFT, GGA-PBE
State: optimized geometry

abc: 5.389 5.389 5.389
angles: 90.00 90.00 90.00
Fractional coordinates of all 12 atoms:
H: 0.759 0.241 0.241
H: 0.241 0.759 0.759
H: 0.759 0.759 0.241
Nd: 0.000 0.500 0.500
H: 0.759 0.759 0.759
H: 0.759 0.241 0.759
Nd: 0.500 0.500 0.000
Ho: 0.000 0.000 0.000
Nd: 0.500 0.000 0.500
H: 0.241 0.759 0.241
H: 0.241 0.241 0.241
H: 0.241 0.241 0.759

calculated density	6428	kg/m³
crystal system	cubic
SG	Pm-3m, No. 221
DFT total energy	-53.7	eV/cell



No. 6
Material: AcEr4Te8
Method: DFT, GGA-PBE
State: optimized geometry

abc: 8.565 8.565 9.294
angles: 62.56 62.56 60.00
Fractional coordinates of all 13 atoms:
Ac: 0.500 0.500 0.500
Te: 0.750 0.240 0.770
Te: 0.258 0.258 0.226
Te: 0.240 0.240 0.770
Er: 0.500 0.500 0.000
Er: 0.000 0.000 0.000
Te: 0.742 0.742 0.774
Te: 0.250 0.760 0.230
Te: 0.240 0.750 0.770
Er: 0.000 0.500 0.000
Er: 0.500 0.000 0.000
Te: 0.760 0.760 0.230
Te: 0.760 0.250 0.230

formation energy without anion corrections	-17.226	eV per formula unit
calculated density	6367	kg/m³
crystal system	trigonal
SG	R-3m, No. 166
DFT total energy	-64.7	eV/cell